The following is a GGA+U calculation of a relaxed CaV6O11F crystal, from Alexandria via LeMat-Bulk.

abc: 5.1846 5.3920 8.5608
angles: 86.35 87.20 74.85
Last column: nearest neighbours and their distance in Å.
Sites, in units of the cell vectors:
Ca (0.8524, 0.5675, 0.3927)  2 O 2.13-2.20, 1 F 2.30
V (0.4222, 0.4028, 0.1553)  4 O 1.80-1.95
V (0.6022, 0.5984, 0.8332)  5 O 1.82-1.99
V (0.4214, 0.3902, 0.5361)  4 O 1.94-2.12
V (0.0157, 0.0043, 0.6712)  3 O 1.81-2.03
V (0.0472, 0.0085, 0.3317)  5 O 1.95-2.07, 1 F 2.10
V (0.0164, 0.0052, 0.9861)  3 O 1.88-2.02, 1 F 2.04
O (0.8149, 0.8172, 0.8395)  1 V 1.82
O (0.1833, 0.1821, 0.4899)  3 V 1.94-2.05
O (0.3275, 0.6895, 0.0039)  3 V 1.93-2.02
O (0.6967, 0.3124, 0.9929)  3 V 1.93-2.02
O (0.7341, 0.3537, 0.6649)  3 V 1.97-2.06
O (0.1977, 0.1989, 0.1523)  1 V 1.80
O (0.1847, 0.1413, 0.8146)  2 V 1.84-1.88
O (0.2851, 0.6402, 0.3394)  3 V 2.04-2.12
O (0.3266, 0.6843, 0.6740)  3 V 1.97-2.03
O (0.6734, 0.2673, 0.3215)  2 V 1.95-2.07
O (0.8433, 0.8981, 0.5193)  2 V 1.81-2.02
F (0.8553, 0.8382, 0.1743)  2 V 2.04-2.10

Output
**Total DFT energy (no corrections)**: -7.502 eV/atom
**Total magnetization**: 9.00 μB/f.u.
**SG**: P1, No. 1